1.
Density functional theory data (PBE-GGA) for a relaxed structure of La6NdPt4. Values from VASP.

Geometry as Quantum ESPRESSO input:
```
&SYSTEM
  ibrav = 0, nat = 11, ntyp = 3
/
ATOMIC_SPECIES
La 138.91 La.upf
Nd 144.24 Nd.upf
Pt 195.08 Pt.upf
ATOMIC_POSITIONS angstrom
La 0.0000 0.0000 0.0000
La 2.5307 2.1814 6.0807
La 4.8041 2.0503 3.2304
La 0.4606 0.0000 8.4811
La 2.5307 -2.1814 6.0807
La 4.8041 -2.0503 3.2304
Nd 2.4858 0.0000 2.6908
Pt 2.4583 1.9875 0.5024
Pt 0.3763 0.0000 5.4815
Pt 2.4583 -1.9875 0.5024
Pt 4.6796 0.0000 5.4974
CELL_PARAMETERS angstrom
4.5349 -4.1653 0.0000
4.5349 4.1653 0.0000
-4.4495 0.0000 8.5122
```

Summary:
DFT total energy, eV/atom: -6.100
Density of states at the Fermi level, states/eV per atom: 0.9294
Size of the total moment, μB/atom: 0.000

***

2.
Density functional theory data (PBE-GGA) for a relaxed structure of NaPmIn3. Values from VASP.

Geometry as Quantum ESPRESSO input:
```
&SYSTEM
  ibrav = 0, nat = 10, ntyp = 3
/
ATOMIC_SPECIES
Na 22.99 Na.upf
Pm 145.00 Pm.upf
In 114.82 In.upf
ATOMIC_POSITIONS angstrom
Na 1.7968 8.6814 3.7154
Na 1.7968 -8.6814 1.2385
Pm 1.7968 13.1973 1.2385
Pm 1.7968 -13.1973 3.7154
In 1.7968 5.3675 3.7154
In 1.7968 3.7498 1.2385
In 1.7968 0.7793 1.2385
In 1.7968 -0.7793 3.7154
In 1.7968 -3.7498 3.7154
In 1.7968 -5.3675 1.2385
CELL_PARAMETERS angstrom
1.7968 -15.3739 0.0000
1.7968 15.3739 0.0000
0.0000 0.0000 4.9539
```

Summary:
DFT total energy, eV/atom: -3.176
Density of states at the Fermi level, states/eV per atom: 0.5383
Size of the total moment, μB/atom: 0.000

***

3.
Density functional theory data (PBE-GGA) for a relaxed structure of Pm4Y3Si4. Values from VASP.

Geometry as Quantum ESPRESSO input:
```
&SYSTEM
  ibrav = 0, nat = 11, ntyp = 3
/
ATOMIC_SPECIES
Pm 145.00 Pm.upf
Y 88.91 Y.upf
Si 28.09 Si.upf
ATOMIC_POSITIONS angstrom
Pm 1.8573 -2.8499 5.7204
Pm 0.0000 1.5329 2.9539
Pm 1.8573 2.8499 5.7204
Pm 0.0000 7.2328 2.9539
Y 1.8573 0.0000 0.0000
Y 0.0000 0.0000 7.0445
Y 0.0000 0.0000 10.3041
Si 0.0000 2.4186 0.0000
Si 1.8573 0.0000 4.8122
Si 0.0000 4.3829 3.8621
Si 0.0000 6.3471 0.0000
CELL_PARAMETERS angstrom
-1.8573 4.3829 8.6743
1.8573 -4.3829 8.6743
1.8573 4.3829 -8.6743
```

Summary:
Uncorrected formation energy, eV per formula unit: -5.6
Density of states at the Fermi level, states/eV per atom: 0.7420
Size of the total moment, μB/atom: 0.000

***

4.
Density functional theory data (PBE-GGA) for a relaxed structure of GaH2O. Values from VASP.

Geometry as Quantum ESPRESSO input:
```
&SYSTEM
  ibrav = 0, nat = 4, ntyp = 3
/
ATOMIC_SPECIES
Ga 69.72 Ga.upf
H 1.01 H.upf
O 16.00 O.upf
ATOMIC_POSITIONS angstrom
Ga 0.0000 0.0000 0.0000
H -0.2698 0.6170 4.3418
H 0.9575 2.1888 3.5858
O -0.1877 -0.2908 3.9634
CELL_PARAMETERS angstrom
2.6981 0.0000 0.0000
-0.6518 2.6188 0.0000
-0.5275 -0.5961 7.9426
```

Summary:
ΔE to the lowest computed polymorph, meV per atom: 0
Density of states at the Fermi level, states/eV per atom: 0.0661
Size of the total moment, μB/atom: 0.000